1.
The following is a DFT calculation (SCAN) of a crystal of Be2BiMo2 relaxed with PBEsol.

Output
As for the crystal system: tetragonal. For the formation energy, the calculation gives 0.708 eV/atom.

Lattice parameters (Å, degrees): 4.400 4.400 7.993 90.00 90.00 90.00
Space group I4/mmm (No. 139)
Inequivalent atoms, fractional coordinates:
1 Be 0.000 0.500 0.250
2 Bi 0.000 0.000 0.000
3 Mo 0.000 0.000 0.342

=====

2.
The following is a DFT calculation (SCAN) of a crystal of NaBe2BiMo relaxed with PBEsol.

Output
As for the crystal system: tetragonal. For the formation energy, the calculation gives 1.301 eV/atom.

Lattice parameters (Å, degrees): 4.451 4.451 5.089 90.00 90.00 90.00
Space group P4/mmm (No. 123)
Inequivalent atoms, fractional coordinates:
1 Na 0.000 0.000 0.000
2 Be 0.000 0.500 0.500
3 Bi 0.500 0.500 0.000
4 Mo 0.000 0.000 0.500